Entry one
An optimized crystal structure of LaPm7Sm3, computed with PBE.

abc: 7.2455 7.2455 8.7806
angles: 90.00 90.00 120.00
With the nearest neighbours (Å) after each atom.
Fractional coordinates of all 11 atoms:
La 0.0000 0.0000 0.0000  9 Pm 3.57-3.62, 3 Sm 3.65
Pm 0.0012 0.5006 0.0092  7 Pm 3.57-3.64, 2 Sm 3.58, 2 La 3.62
Pm 0.3325 0.1663 0.6697  2 Sm 3.57, 1 La 3.57, 8 Pm 3.61-3.64
Pm 0.3333 0.6667 0.6793  9 Pm 3.57-3.62, 3 Sm 3.63
Pm 0.4994 0.5006 0.0092  7 Pm 3.57-3.64, 2 Sm 3.58, 2 La 3.62
Pm 0.4994 0.9988 0.0092  7 Pm 3.57-3.64, 2 Sm 3.58, 2 La 3.62
Pm 0.8337 0.1663 0.6697  2 Sm 3.57, 1 La 3.57, 8 Pm 3.61-3.64
Pm 0.8337 0.6675 0.6697  2 Sm 3.57, 1 La 3.57, 8 Pm 3.61-3.64
Sm 0.1670 0.3340 0.3408  5 Pm 3.57-3.63, 4 Sm 3.62-3.63, 1 La 3.65
Sm 0.1670 0.8330 0.3408  5 Pm 3.57-3.63, 4 Sm 3.62-3.63, 1 La 3.65
Sm 0.6660 0.8330 0.3408  5 Pm 3.57-3.63, 4 Sm 3.62-3.63, 1 La 3.65

## Properties
Calculated volume: 36.29 Å³ per atom
Mass density: 6.68 g cm⁻³
Spin magnetization: 0.00 μB/atom


Entry two
An optimized crystal structure of LaPm7Sm3, computed with PBE.

abc: 7.8377 7.8377 6.5082
angles: 94.20 94.20 81.32
With the nearest neighbours (Å) after each atom.
Fractional coordinates of all 11 atoms:
La 0.0000 0.0000 0.0000  4 Pm 3.25-3.51
Pm 0.0000 0.0000 0.5000  2 La 3.25, 2 Sm 3.35, 2 Pm 3.54
Pm 0.0746 0.4237 0.7599  6 Pm 3.34-3.72, 3 Sm 3.57-3.69
Pm 0.2642 0.2642 0.2905  5 Pm 3.34-3.56, 3 Sm 3.47-3.53, 1 La 3.51
Pm 0.4237 0.0746 0.7599  6 Pm 3.34-3.72, 3 Sm 3.57-3.69
Pm 0.5763 0.9254 0.2401  6 Pm 3.34-3.72, 3 Sm 3.57-3.69
Pm 0.7358 0.7358 0.7095  5 Pm 3.34-3.56, 3 Sm 3.47-3.53, 1 La 3.51
Pm 0.9254 0.5763 0.2401  6 Pm 3.34-3.72, 3 Sm 3.57-3.69
Sm 0.3283 0.6717 0.5000  7 Pm 3.35-3.62, 3 Sm 3.51-3.70
Sm 0.5000 0.5000 0.0000  6 Pm 3.53-3.69, 4 Sm 3.70
Sm 0.6717 0.3283 0.5000  7 Pm 3.35-3.62, 3 Sm 3.51-3.70

## Properties
Calculated volume: 35.76 Å³ per atom
Mass density: 6.78 g cm⁻³
Spin magnetization: 0.00 μB/atom


Which structure is most stable? entry one, by 26 meV per atom over the runner-up.


Entry one
An optimized crystal structure of La2Pm4Sm3, computed with PBE.

abc: 8.7462 8.7942 8.9290
angles: 90.00 112.15 90.00
With the nearest neighbours (Å) after each atom.
Fractional coordinates of all 18 atoms:
La 0.1742 0.1504 0.0502  7 Pm 3.51-3.82, 1 La 3.88
La 0.1742 0.3496 0.5502  7 Pm 3.51-3.82, 1 La 3.88
La 0.8258 0.6504 0.4498  7 Pm 3.51-3.82, 1 La 3.88
La 0.8258 0.8496 0.9498  7 Pm 3.51-3.82, 1 La 3.88
Pm 0.0800 0.5337 0.8638  4 Sm 3.26-3.45, 1 Pm 3.28, 1 La 3.59
Pm 0.0800 0.9663 0.3638  4 Sm 3.26-3.45, 1 Pm 3.28, 1 La 3.59
Pm 0.4744 0.1372 0.8525  5 Sm 3.31-3.48, 1 Pm 3.48, 2 La 3.51-3.68
Pm 0.4744 0.3628 0.3525  5 Sm 3.31-3.48, 1 Pm 3.48, 2 La 3.51-3.68
Pm 0.5256 0.6372 0.6475  5 Sm 3.31-3.48, 1 Pm 3.48, 2 La 3.51-3.68
Pm 0.5256 0.8628 0.1475  5 Sm 3.31-3.48, 1 Pm 3.48, 2 La 3.51-3.68
Pm 0.9200 0.0337 0.6362  4 Sm 3.26-3.45, 1 Pm 3.28, 1 La 3.59
Pm 0.9200 0.4663 0.1362  4 Sm 3.26-3.45, 1 Pm 3.28, 1 La 3.59
Sm 0.2485 0.6799 0.2503  6 Pm 3.26-3.48
Sm 0.2485 0.8201 0.7503  6 Pm 3.26-3.48
Sm 0.5000 0.0000 0.5000  6 Pm 3.42-3.46, 2 Sm 3.75
Sm 0.5000 0.5000 0.0000  6 Pm 3.42-3.46, 2 Sm 3.75
Sm 0.7515 0.1799 0.2497  6 Pm 3.26-3.48
Sm 0.7515 0.3201 0.7497  6 Pm 3.26-3.48

## Properties
Calculated volume: 35.34 Å³ per atom
Mass density: 6.83 g cm⁻³
Spin magnetization: 0.00 μB/atom


Entry two
An optimized crystal structure of La2Pm4Sm3, computed with PBE.

abc: 3.6626 3.6626 27.3331
angles: 90.00 90.00 120.00
With the nearest neighbours (Å) after each atom.
Fractional coordinates of all 9 atoms:
La 0.0000 0.0000 0.0000  6 La 3.66, 3 Pm 3.72, 3 Sm 3.74
La 0.0000 0.0000 0.2208  1 Pm 3.50, 3 Sm 3.63, 6 La 3.66
Pm 0.0000 0.0000 0.3491  1 La 3.50, 3 Sm 3.56, 6 Pm 3.66
Pm 0.0000 0.0000 0.5643  9 Pm 3.62-3.66, 3 Sm 3.69
Pm 0.3333 0.6667 0.6719  9 Pm 3.62-3.66, 3 Sm 3.65
Pm 0.3333 0.6667 0.8881  3 Sm 3.61, 6 Pm 3.66, 3 La 3.72
Sm 0.0000 0.0000 0.7808  6 Pm 3.61-3.65, 6 Sm 3.66
Sm 0.3333 0.6667 0.1127  6 La 3.63-3.74, 6 Sm 3.66
Sm 0.3333 0.6667 0.4536  6 Pm 3.56-3.69, 6 Sm 3.66

## Properties
Calculated volume: 35.28 Å³ per atom
Mass density: 6.84 g cm⁻³
Spin magnetization: 0.00 μB/atom


Which structure is most stable? entry two, by 98 meV per atom over the runner-up.


Entry one
An optimized crystal structure of La5PmSm3, computed with PBE.

abc: 10.1157 10.1157 11.5721
angles: 113.49 113.49 38.30
With the nearest neighbours (Å) after each atom.
Fractional coordinates of all 18 atoms:
La 0.0252 0.6399 0.2874  4 Sm 3.46-3.72, 3 La 3.56-3.81, 1 Pm 3.60
La 0.0930 0.9070 0.7500  1 Pm 3.06, 2 La 3.31
La 0.1511 0.5087 0.6381  4 La 3.31-3.65, 1 Pm 3.60, 1 Sm 3.65
La 0.3601 0.9748 0.2126  4 Sm 3.46-3.72, 3 La 3.56-3.81, 1 Pm 3.60
La 0.4913 0.8489 0.8619  4 La 3.31-3.65, 1 Pm 3.60, 1 Sm 3.65
La 0.5087 0.1511 0.1381  4 La 3.31-3.65, 1 Pm 3.60, 1 Sm 3.65
La 0.6399 0.0252 0.7874  4 Sm 3.46-3.72, 3 La 3.56-3.81, 1 Pm 3.60
La 0.8489 0.4913 0.3619  4 La 3.31-3.65, 1 Pm 3.60, 1 Sm 3.65
La 0.9070 0.0930 0.2500  1 Pm 3.06, 2 La 3.31
La 0.9748 0.3601 0.7126  4 Sm 3.46-3.72, 3 La 3.56-3.81, 1 Pm 3.60
Pm 0.3679 0.6321 0.2500  2 Sm 3.02, 1 La 3.06
Pm 0.6321 0.3679 0.7500  2 Sm 3.02, 1 La 3.06
Sm 0.0451 0.6333 0.9847  5 La 3.46-3.85, 1 Pm 3.47, 2 Sm 3.58-3.62
Sm 0.3667 0.9549 0.5153  5 La 3.46-3.85, 1 Pm 3.47, 2 Sm 3.58-3.62
Sm 0.5000 0.5000 0.0000  2 Pm 3.02
Sm 0.5000 0.5000 0.5000  2 Pm 3.02
Sm 0.6333 0.0451 0.4847  5 La 3.46-3.85, 1 Pm 3.47, 2 Sm 3.58-3.62
Sm 0.9549 0.3667 0.0153  5 La 3.46-3.85, 1 Pm 3.47, 2 Sm 3.58-3.62

## Properties
Calculated volume: 36.97 Å³ per atom
Mass density: 6.44 g cm⁻³
Spin magnetization: 0.00 μB/atom


Entry two
An optimized crystal structure of La5PmSm3, computed with PBE.

abc: 10.2362 10.2362 10.2362
angles: 128.16 128.16 76.37
With the nearest neighbours (Å) after each atom.
Fractional coordinates of all 18 atoms:
La 0.0000 0.0000 0.0000  4 Sm 3.57, 8 La 3.93
La 0.0613 0.5613 0.9006  1 Pm 3.10, 1 Sm 3.20
La 0.1607 0.0613 0.5000  1 Pm 3.10, 1 Sm 3.20
La 0.3393 0.8393 0.9006  1 Pm 3.10, 1 Sm 3.20
La 0.4387 0.3393 0.5000  1 Pm 3.10, 1 Sm 3.20
La 0.5000 0.5000 0.0000  4 Sm 3.57, 8 La 3.93
La 0.5613 0.6607 0.5000  1 Pm 3.10, 1 Sm 3.20
La 0.6607 0.1607 0.0994  1 Pm 3.10, 1 Sm 3.20
La 0.8393 0.9387 0.5000  1 Pm 3.10, 1 Sm 3.20
La 0.9387 0.4387 0.0994  1 Pm 3.10, 1 Sm 3.20
Pm 0.2500 0.7500 0.5000  4 La 3.10
Pm 0.7500 0.2500 0.5000  4 La 3.10
Sm 0.1185 0.3815 0.5000  1 Sm 3.00, 2 La 3.20
Sm 0.2500 0.2500 0.0000  10 La 3.69-4.02
Sm 0.3815 0.8815 0.2629  1 Sm 3.00, 2 La 3.20
Sm 0.6185 0.1185 0.7371  1 Sm 3.00, 2 La 3.20
Sm 0.7500 0.7500 0.0000  10 La 3.69-4.02
Sm 0.8815 0.6185 0.5000  1 Sm 3.00, 2 La 3.20

## Properties
Calculated volume: 35.80 Å³ per atom
Mass density: 6.65 g cm⁻³
Spin magnetization: 0.00 μB/atom


Which structure is most stable? entry one, by 22 meV per atom over the runner-up.


Entry one
An optimized crystal structure of LaPm4Sm6, computed with PBE.

abc: 9.9669 9.9669 9.9669
angles: 140.95 140.95 56.41
With the nearest neighbours (Å) after each atom.
Fractional coordinates of all 11 atoms:
La 0.0000 0.0000 0.0000  4 Sm 3.33, 4 Pm 3.63
Pm 0.0103 0.0103 0.3799  5 Sm 3.38-3.62, 1 Pm 3.58, 1 La 3.63
Pm 0.3696 0.9897 0.0000  5 Sm 3.38-3.62, 1 Pm 3.58, 1 La 3.63
Pm 0.6304 0.6304 0.6201  5 Sm 3.38-3.62, 1 Pm 3.58, 1 La 3.63
Pm 0.9897 0.3696 0.0000  5 Sm 3.38-3.62, 1 Pm 3.58, 1 La 3.63
Sm 0.0000 0.5000 0.5000  4 Sm 3.32, 2 La 3.33
Sm 0.1922 0.5518 0.0000  3 Sm 3.32-3.39, 5 Pm 3.38-3.62
Sm 0.4482 0.4482 0.6404  3 Sm 3.32-3.39, 5 Pm 3.38-3.62
Sm 0.5000 0.0000 0.5000  4 Sm 3.32, 2 La 3.33
Sm 0.5518 0.1922 0.0000  3 Sm 3.32-3.39, 5 Pm 3.38-3.62
Sm 0.8078 0.8078 0.3596  3 Sm 3.32-3.39, 5 Pm 3.38-3.62

## Properties
Calculated volume: 35.44 Å³ per atom
Mass density: 6.90 g cm⁻³
Spin magnetization: 0.00 μB/atom


Entry two
An optimized crystal structure of LaPm4Sm6, computed with PBE.

abc: 8.6280 8.6280 8.6280
angles: 126.29 126.29 79.42
With the nearest neighbours (Å) after each atom.
Fractional coordinates of all 11 atoms:
La 0.0000 0.0000 0.0000  8 Sm 3.65-3.90, 4 Pm 3.78
Pm 0.2534 0.2534 0.6602  3 Sm 3.07-3.22, 2 Pm 3.34
Pm 0.4068 0.7466 0.0000  3 Sm 3.07-3.22, 2 Pm 3.34
Pm 0.5932 0.5932 0.3398  3 Sm 3.07-3.22, 2 Pm 3.34
Pm 0.7466 0.4068 0.0000  3 Sm 3.07-3.22, 2 Pm 3.34
Sm 0.0000 0.5000 0.5000  4 Pm 3.07
Sm 0.0531 0.5709 0.0000  1 Pm 3.22
Sm 0.4291 0.4291 0.4822  1 Pm 3.22
Sm 0.5000 0.0000 0.5000  4 Pm 3.07
Sm 0.5709 0.0531 0.0000  1 Pm 3.22
Sm 0.9469 0.9469 0.5178  1 Pm 3.22

## Properties
Calculated volume: 36.67 Å³ per atom
Mass density: 6.67 g cm⁻³
Spin magnetization: 0.00 μB/atom


Which structure is most stable? entry one, by 86 meV per atom over the runner-up.


Entry one
An optimized crystal structure of La4Pm2Sm, computed with PBE.

abc: 6.4077 9.7763 9.7770
angles: 60.08 71.01 83.84
With the nearest neighbours (Å) after each atom.
Fractional coordinates of all 14 atoms:
La 0.0000 0.0000 0.0000  3 Sm 3.68-3.69, 5 Pm 3.68-3.72, 4 La 3.68-3.73
La 0.0000 0.2821 0.5727  2 Sm 3.66-3.72, 4 Pm 3.67-3.72, 6 La 3.68-3.73
La 0.4972 0.3539 0.2183  5 La 3.68-3.71, 6 Pm 3.68-3.72, 1 Sm 3.70
La 0.4969 0.6416 0.7901  3 Pm 3.67-3.68, 6 La 3.69-3.73, 3 Sm 3.69-3.73
La 0.4968 0.9257 0.3608  6 La 3.68-3.73, 2 Sm 3.69, 4 Pm 3.70-3.72
La 0.4984 0.4959 0.5053  8 La 3.69-3.72, 1 Sm 3.69, 3 Pm 3.70-3.72
La 0.9970 0.4289 0.8579  7 La 3.69-3.71, 2 Pm 3.69-3.70, 3 Sm 3.69-3.73
La 0.9988 0.7144 0.4288  8 La 3.68-3.73, 3 Pm 3.69-3.71, 1 Sm 3.70
Pm 0.4988 0.0674 0.6480  3 Sm 3.67-3.70, 7 La 3.67-3.71, 2 Pm 3.68-3.71
Pm 0.5018 0.7833 0.0731  3 Pm 3.67-3.71, 7 La 3.67-3.72, 2 Sm 3.68
Pm 0.9963 0.1426 0.2872  8 La 3.67-3.72, 2 Sm 3.70, 2 Pm 3.70-3.71
Pm 0.9977 0.5716 0.1433  3 Pm 3.67-3.71, 8 La 3.68-3.72, 1 Sm 3.69
Sm 0.4984 0.2095 0.9328  9 La 3.68-3.73, 3 Pm 3.68-3.70
Sm 0.9971 0.8571 0.7155  7 La 3.66-3.71, 5 Pm 3.67-3.70

## Properties
Calculated volume: 35.77 Å³ per atom
Mass density: 6.60 g cm⁻³
Spin magnetization: 0.00 μB/atom


Entry two
An optimized crystal structure of La4Pm2Sm, computed with PBE.

abc: 6.9462 6.9454 8.5578
angles: 51.98 51.97 76.05
With the nearest neighbours (Å) after each atom.
Fractional coordinates of all 7 atoms:
La 0.0696 0.6688 0.9304  2 Pm 3.33, 4 La 3.55-3.61, 1 Sm 3.65
La 0.2007 0.7993 0.2007  2 Pm 3.33, 4 La 3.55-3.61, 1 Sm 3.65
La 0.6688 0.0696 0.3312  2 Pm 3.33, 4 La 3.55-3.61, 1 Sm 3.65
La 0.7993 0.2007 0.7993  2 Pm 3.33, 4 La 3.55-3.61, 1 Sm 3.65
Pm 0.1846 0.1846 0.3154  4 La 3.33, 2 Pm 3.41
Pm 0.6846 0.6846 0.8154  4 La 3.33, 2 Pm 3.41
Sm 0.4338 0.4338 0.5662  8 La 3.65-3.83

## Properties
Calculated volume: 35.67 Å³ per atom
Mass density: 6.62 g cm⁻³
Spin magnetization: 0.00 μB/atom


Which structure is most stable? entry one, by 134 meV per atom over the runner-up.